# 1
Below is CaSi3Pt3 after structural relaxation, with properties calculated at the PBE level.

Unit cell a=6.6545 b=6.6545 c=6.6545 alpha=90.00 beta=90.00 gamma=90.00
With the nearest neighbours (Å) after each atom.
Element x y z (fractional)
1 Ca 0.5000 0.5000 0.5000  12 Pt 3.72, 12 Si 3.72
2 Ca 0.0000 0.0000 0.0000  12 Pt 3.72, 12 Si 3.72
3 Si 0.0000 0.2500 0.5000  4 Pt 2.35
4 Si 0.0000 0.7500 0.5000  4 Pt 2.35
5 Si 0.5000 0.0000 0.7500  4 Pt 2.35
6 Si 0.7500 0.5000 0.0000  4 Pt 2.35
7 Si 0.5000 0.0000 0.2500  4 Pt 2.35
8 Si 0.2500 0.5000 0.0000  4 Pt 2.35
9 Pt 0.2500 0.0000 0.5000  4 Si 2.35
10 Pt 0.0000 0.5000 0.2500  4 Si 2.35
11 Pt 0.5000 0.7500 0.0000  4 Si 2.35
12 Pt 0.7500 0.0000 0.5000  4 Si 2.35
13 Pt 0.0000 0.5000 0.7500  4 Si 2.35
14 Pt 0.5000 0.2500 0.0000  4 Si 2.35

Values from the calculation:
Fermi-level density of states = 8.60 states/eV/cell
Raw total energy = -81.88 eV for the cell shown
ΔE_f (raw) = -0.650 eV per atom

# 2
Below is DyThIrAu after structural relaxation, with properties calculated at the PBE level.

Unit cell a=5.0801 b=5.0801 c=5.0801 alpha=60.00 beta=60.00 gamma=60.00
With the nearest neighbours (Å) after each atom.
Element x y z (fractional)
1 Ir 0.0000 0.0000 0.0000  4 Dy 3.11, 4 Th 3.11
2 Au 0.5000 0.5000 0.5000  4 Th 3.11, 4 Dy 3.11
3 Th 0.7500 0.7500 0.7500  4 Au 3.11, 4 Ir 3.11
4 Dy 0.2500 0.2500 0.2500  4 Ir 3.11, 4 Au 3.11

Values from the calculation:
Formation enthalpy at 0 K = -0.74 eV per atom
Fermi-level density of states = 3.31 states/eV/cell
Raw total energy = -27.11 eV for the cell shown